Entry 1:
Entry from Alexandria: crystalline Ni3AgN at its relaxed geometry (GGA-PBE).

The structure belongs to space group P2_1/m (No. 11); the cell edges are 4.794, 5.104 and 4.966 Å and the angles 90.00°, 91.33° and 90.00°. Symmetry generates all atoms from Ni at (0.048, 0.250, 0.384), Ni at (0.414, 0.501, 0.740), Ag at (0.090, 0.750, 0.116) and N at (0.405, 0.250, 0.466).

The total DFT energy (no corrections) comes out at -5.480 eV/atom.

***

Entry 2:
Entry from Alexandria: crystalline Ni3AgN at its relaxed geometry (GGA-PBE).

The structure belongs to space group R-3c (No. 167, hexagonal axes); the cell edges are 6.8724, 6.8724 and 8.9011 Å and the angles 90.00°, 90.00° and 120.00°. Symmetry generates all atoms from Ni at (0.0000, 0.2578, 0.2500), Ag at (0.0000, 0.0000, 0.0000) and N at (0.0000, 0.0000, 0.2500).

The total DFT energy (no corrections) comes out at -5.242 eV/atom.

***

Entry 3:
Entry from Alexandria: crystalline Ni3AgN at its relaxed geometry (GGA-PBE).

The structure belongs to space group Pmma (No. 51); the cell edges are 3.841, 3.729 and 7.914 Å and the angles 90.00°, 90.00° and 90.00°. Symmetry generates all atoms from Ni at (0.250, 0.000, 0.122), Ni at (0.250, 0.000, 0.626), Ni at (0.250, 0.500, 0.878), Ag at (0.250, 0.500, 0.372) and N at (0.250, 0.000, 0.858).

The total DFT energy (no corrections) comes out at -5.591 eV/atom.